# 1
## Be2AlMo (GGA-PBE)

Data for Be2AlMo after structural relaxation.

Results
- DOS at the Fermi energy: 2.86 states/eV/f.u.
- Calculated formation energy: 0.0512 eV per atom

Structure (CIF):
```
data_Be2AlMo
_chemical_formula_sum 'Be2 Al1 Mo1'
_symmetry_space_group_name_H-M 'P m m m'
_symmetry_Int_Tables_number 47
_symmetry_space_group_name_Hall '-P 2 2'
_cell_length_a 2.7127
_cell_length_b 3.8672
_cell_length_c 4.8503
_cell_angle_alpha 90.00
_cell_angle_beta 90.00
_cell_angle_gamma 90.00
loop_
_atom_site_label
_atom_site_type_symbol
_atom_site_fract_x
_atom_site_fract_y
_atom_site_fract_z
Be1 Be 0.0000 0.0000 0.2118
Al1 Al 0.0000 0.5000 0.5000
Mo1 Mo 0.5000 0.5000 0.0000
```

---

# 2
## BeAlMo3 (GGA-PBE)

Data for BeAlMo3 after structural relaxation.

Results
- DOS at the Fermi energy: 4.83 states/eV/f.u.
- Polymorph energy (0 for the lowest one): 0.000 eV per atom
- Calculated formation energy: 0.5880 eV per atom

Structure (CIF):
```
data_BeAlMo3
_chemical_formula_sum 'Be1 Al1 Mo3'
_symmetry_space_group_name_H-M 'P m -3 m'
_symmetry_Int_Tables_number 221
_symmetry_space_group_name_Hall '-P 4 2 3'
_cell_length_a 4.2429
_cell_length_b 4.2429
_cell_length_c 4.2429
_cell_angle_alpha 90.00
_cell_angle_beta 90.00
_cell_angle_gamma 90.00
loop_
_atom_site_label
_atom_site_type_symbol
_atom_site_fract_x
_atom_site_fract_y
_atom_site_fract_z
Be1 Be 0.0000 0.0000 0.0000
Al1 Al 0.5000 0.5000 0.5000
Mo1 Mo 0.0000 0.0000 0.5000
```

---

# 3
## BeAlMo2 (GGA-PBE)

Data for BeAlMo2 after structural relaxation.

Results
- DOS at the Fermi energy: 4.54 states/eV/f.u.
- Polymorph energy (0 for the lowest one): 0.291 eV per atom
- Calculated formation energy: 0.2252 eV per atom

Structure (CIF):
```
data_BeAlMo2
_chemical_formula_sum 'Be4 Al4 Mo8'
_symmetry_space_group_name_H-M 'F m -3 m'
_symmetry_Int_Tables_number 225
_symmetry_space_group_name_Hall '-F 4 2 3'
_cell_length_a 6.0536
_cell_length_b 6.0536
_cell_length_c 6.0536
_cell_angle_alpha 90.00
_cell_angle_beta 90.00
_cell_angle_gamma 90.00
loop_
_atom_site_label
_atom_site_type_symbol
_atom_site_fract_x
_atom_site_fract_y
_atom_site_fract_z
Be1 Be 0.0000 0.0000 0.0000
Al1 Al 0.0000 0.0000 0.5000
Mo1 Mo 0.2500 0.2500 0.2500
```

---

# 4
## BeAlMo2 (GGA-PBE)

Data for BeAlMo2 after structural relaxation.

Results
- DOS at the Fermi energy: 2.14 states/eV/f.u.
- Polymorph energy (0 for the lowest one): 0.048 eV per atom
- Calculated formation energy: -0.0178 eV per atom

Structure (CIF):
```
data_BeAlMo2
_chemical_formula_sum 'Be2 Al2 Mo4'
_symmetry_space_group_name_H-M 'I m m m'
_symmetry_Int_Tables_number 71
_symmetry_space_group_name_Hall '-I 2 2'
_cell_length_a 3.2906
_cell_length_b 4.1849
_cell_length_c 8.1659
_cell_angle_alpha 90.00
_cell_angle_beta 90.00
_cell_angle_gamma 90.00
loop_
_atom_site_label
_atom_site_type_symbol
_atom_site_fract_x
_atom_site_fract_y
_atom_site_fract_z
Be1 Be 0.0000 0.0000 0.0000
Al1 Al 0.0000 0.0000 0.5000
Mo1 Mo 0.0000 0.5000 0.2589
```

---

# 5
## Be2AlMo (GGA-PBE)

Data for Be2AlMo after structural relaxation.

Results
- DOS at the Fermi energy: 2.32 states/eV/f.u.
- Calculated formation energy: -0.0979 eV per atom

Structure (CIF):
```
data_Be2AlMo
_chemical_formula_sum 'Be4 Al2 Mo2'
_symmetry_space_group_name_H-M 'I m m 2'
_symmetry_Int_Tables_number 44
_symmetry_space_group_name_Hall 'I 2 -2'
_cell_length_a 3.2514
_cell_length_b 3.5671
_cell_length_c 8.2523
_cell_angle_alpha 90.00
_cell_angle_beta 90.00
_cell_angle_gamma 90.00
loop_
_atom_site_label
_atom_site_type_symbol
_atom_site_fract_x
_atom_site_fract_y
_atom_site_fract_z
Be1 Be 0.0000 0.0000 0.0000
Be2 Be 0.0000 0.5000 0.2915
Al1 Al 0.0000 0.0000 0.5216
Mo1 Mo 0.0000 0.5000 0.7615
```

---

# 6
## Be2AlMo (GGA-PBE)

Data for Be2AlMo after structural relaxation.

Results
- DOS at the Fermi energy: 2.42 states/eV/f.u.
- Calculated formation energy: 0.3417 eV per atom

Structure (CIF):
```
data_Be2AlMo
_chemical_formula_sum 'Be8 Al4 Mo4'
_symmetry_space_group_name_H-M 'I -4 2 d'
_symmetry_Int_Tables_number 122
_symmetry_space_group_name_Hall 'I -4 2bw'
_cell_length_a 6.3559
_cell_length_b 6.3559
_cell_length_c 5.0092
_cell_angle_alpha 90.00
_cell_angle_beta 90.00
_cell_angle_gamma 90.00
loop_
_atom_site_label
_atom_site_type_symbol
_atom_site_fract_x
_atom_site_fract_y
_atom_site_fract_z
Be1 Be 0.2411 0.2500 0.1250
Al1 Al 0.0000 0.0000 0.0000
Mo1 Mo 0.0000 0.0000 0.5000
```

---

Copy entry 4 word for word.
## BeAlMo2 (GGA-PBE)

Data for BeAlMo2 after structural relaxation.

Results
- DOS at the Fermi energy: 2.14 states/eV/f.u.
- Polymorph energy (0 for the lowest one): 0.048 eV per atom
- Calculated formation energy: -0.0178 eV per atom

Structure (CIF):
```
data_BeAlMo2
_chemical_formula_sum 'Be2 Al2 Mo4'
_symmetry_space_group_name_H-M 'I m m m'
_symmetry_Int_Tables_number 71
_symmetry_space_group_name_Hall '-I 2 2'
_cell_length_a 3.2906
_cell_length_b 4.1849
_cell_length_c 8.1659
_cell_angle_alpha 90.00
_cell_angle_beta 90.00
_cell_angle_gamma 90.00
loop_
_atom_site_label
_atom_site_type_symbol
_atom_site_fract_x
_atom_site_fract_y
_atom_site_fract_z
Be1 Be 0.0000 0.0000 0.0000
Al1 Al 0.0000 0.0000 0.5000
Mo1 Mo 0.0000 0.5000 0.2589
```

---

> Which value of calculated formation energy does entry 5 give?

-0.0979 eV per atom